VASP calculation (GGA-PBEsol) on MgPd2I after structural relaxation.

## Properties
E_form (uncorrected): -0.079 eV/atom
VASP energy: -3.930 eV/atom

Lattice parameters (Å, degrees): 4.156 4.156 9.563 102.55 102.55 90.00
Sites, in units of the cell vectors:
I 0.250 0.750 0.500
I 0.000 0.000 0.000
Mg 0.750 0.250 0.500
Mg 0.500 0.500 0.000
Pd 0.383 0.875 0.250
Pd 0.867 0.375 0.250
Pd 0.125 0.133 0.750
Pd 0.625 0.617 0.750

VASP calculation (GGA-PBEsol) on CaEuS2 after structural relaxation.

## Properties
E_form (uncorrected): -2.199 eV/atom
VASP energy: -7.565 eV/atom

Lattice parameters (Å, degrees): 4.025 4.025 5.707 90.00 90.00 90.00
Each line ends with the local moment (μB).
Sites, in units of the cell vectors:
Eu 0.500 0.500 0.500  6.75
Ca 0.000 0.000 0.000  0.03
S 0.000 0.000 0.500  -0.06
S 0.500 0.500 0.000  -0.03

VASP calculation (GGA-PBEsol) on BaTa2As after structural relaxation.

## Properties
Formation enthalpy at 0 K: 0.208 eV/atom
VASP energy: -7.882 eV/atom

Lattice parameters (Å, degrees): 3.305 4.671 6.929 98.98 90.00 110.72
Sites, in units of the cell vectors:
As 0.511 0.021 0.602
Ba 0.777 0.553 0.264
Ta 0.976 0.951 0.900
Ta 0.237 0.474 0.734

VASP calculation (GGA-PBEsol) on CsRb3Nb after structural relaxation.

## Properties
Formation enthalpy at 0 K: 1.027 eV/atom
VASP energy: -1.941 eV/atom

Lattice parameters (Å, degrees): 7.170 7.170 7.170 90.00 90.00 90.00
Each line ends with the local moment (μB).
Sites, in units of the cell vectors:
Cs 0.500 0.500 0.500  0.01
Nb 0.000 0.000 0.000  3.23
Rb 0.000 0.500 0.000  0.04
Rb 0.000 0.000 0.500  0.04
Rb 0.500 0.000 0.000  0.04